[1]
! PmDy3Ir2 GGA-PBE optimized geometry; values from VASP
&SYSTEM
  ibrav = 0, nat = 12, ntyp = 3
/
ATOMIC_SPECIES
Dy 162.50 Dy.upf
Ir 192.22 Ir.upf
Pm 145.00 Pm.upf
CELL_PARAMETERS angstrom
6.8400 0.0000 0.0000
0.0000 7.0363 0.0000
-3.4200 -3.5181 6.8459
ATOMIC_POSITIONS crystal
Dy 0.7623 0.0123 0.5247
Ir 0.4274 0.6387 0.2774
Dy 0.5000 0.2500 0.0000
Ir 0.5726 0.3613 0.7226
Dy 0.2377 0.4877 0.4753
Ir 0.1500 0.8613 0.7226
Ir 0.8500 0.1387 0.2774
Dy 0.2377 0.9877 0.4753
Pm 0.0000 0.0000 0.0000
Dy 0.7623 0.5123 0.5247
Dy 0.5000 0.7500 0.0000
Pm 0.0000 0.5000 0.0000
! Excess energy over the best structure of this formula in the dataset (kJ/mol of atoms): 8.74
! Formation energy (meV/atom): -611
! Crystal system: orthorhombic

[2]
! Li3Zn2Ag3 GGA-PBE optimized geometry; values from VASP
&SYSTEM
  ibrav = 0, nat = 8, ntyp = 3
/
ATOMIC_SPECIES
Li 6.94 Li.upf
Zn 65.41 Zn.upf
Ag 107.87 Ag.upf
CELL_PARAMETERS angstrom
4.1415 0.0000 -0.5890
0.0000 4.1442 0.0000
-1.0272 -2.0721 7.5867
ATOMIC_POSITIONS crystal
Li 0.1310 0.6301 0.2602
Zn 0.7509 0.7505 0.5011
Ag 0.3693 0.8691 0.7383
Ag 0.0000 0.0000 0.0000
Li 0.5000 0.5000 0.0000
Ag 0.6307 0.1309 0.2617
Zn 0.2491 0.2495 0.4989
Li 0.8690 0.3699 0.7398
! Formation energy (meV/atom): -179
! Crystal system: monoclinic

[3]
! MgPt2Se GGA-PBE optimized geometry; values from VASP
&SYSTEM
  ibrav = 0, nat = 4, ntyp = 3
/
ATOMIC_SPECIES
Mg 24.30 Mg.upf
Se 78.96 Se.upf
Pt 195.08 Pt.upf
CELL_PARAMETERS angstrom
4.7969 -0.0576 -0.0012
3.7760 2.9591 -0.0012
0.9623 0.3257 4.6307
ATOMIC_POSITIONS crystal
Mg 0.2500 0.2500 0.2500
Se 0.7500 0.7500 0.7500
Pt 0.4979 0.4979 0.4956
Pt 0.0021 0.0021 0.0044
! Excess energy over the best structure of this formula in the dataset (kJ/mol of atoms): 0.64
! ΔE_f (raw) (meV per atom): -337
! Crystal system: monoclinic

[4]
! BeZn3Fe GGA-PBE optimized geometry; values from VASP
&SYSTEM
  ibrav = 0, nat = 5, ntyp = 3
/
ATOMIC_SPECIES
Zn 65.41 Zn.upf
Fe 55.84 Fe.upf
Be 9.01 Be.upf
CELL_PARAMETERS angstrom
-3.6250 -1.5749 -2.2822
-0.9910 -2.7725 3.4872
-2.5897 3.2653 1.8601
ATOMIC_POSITIONS crystal
Zn 0.0000 0.5000 0.0000
Fe 0.0000 0.0000 0.0000
Be 0.5000 0.5000 0.5000
Zn 0.0000 0.0000 0.5000
Zn 0.5000 0.0000 0.0000
! Excess energy over the best structure of this formula in the dataset (kJ/mol of atoms): 38.18
! Formation energy (meV/atom): 973
! Crystal system: cubic

[5]
! Pu2UGe3Pt4 GGA-PBE optimized geometry; values from VASP
&SYSTEM
  ibrav = 0, nat = 10, ntyp = 4
/
ATOMIC_SPECIES
Pu 244.00 Pu.upf
Pt 195.08 Pt.upf
Ge 72.64 Ge.upf
U 238.03 U.upf
CELL_PARAMETERS angstrom
4.2679 0.0000 0.0000
0.0000 4.2679 0.0000
0.0000 0.0000 11.2145
ATOMIC_POSITIONS crystal
Pu 0.5000 0.0000 0.2371
Pt 0.5000 0.5000 0.0000
Pt 0.5000 0.0000 0.6583
Ge 0.0000 0.5000 0.1231
Pt 0.0000 0.5000 0.3417
Ge 0.0000 0.0000 0.5000
U 0.5000 0.5000 0.5000
Pt 0.0000 0.0000 0.0000
Pu 0.0000 0.5000 0.7629
Ge 0.5000 0.0000 0.8769
! Formation energy (meV/atom): -622
! Crystal system: tetragonal

[6]
! Mg5Sn2H2 GGA-PBE optimized geometry; values from VASP
&SYSTEM
  ibrav = 0, nat = 18, ntyp = 3
/
ATOMIC_SPECIES
Mg 24.30 Mg.upf
Sn 118.71 Sn.upf
H 1.01 H.upf
CELL_PARAMETERS angstrom
-4.0178 -4.7118 -0.9745
-0.4324 -0.8841 6.0578
-4.5483 8.5016 -2.1928
ATOMIC_POSITIONS crystal
Mg 0.2465 0.7560 0.9930
Mg 0.5912 0.6465 0.2739
Sn 0.8952 0.3860 0.7528
Sn 0.1048 0.6332 0.2472
Mg 0.7535 0.2630 0.0070
H 0.7759 0.7596 0.5000
Mg 0.2465 0.2560 0.9930
Mg 0.8173 0.8726 0.7261
H 0.5000 0.5095 0.0000
Sn 0.6424 0.1332 0.2472
Mg 0.7535 0.7630 0.0070
Mg 0.0000 0.5096 0.5000
Sn 0.3576 0.8860 0.7528
Mg 0.0000 0.0096 0.5000
H 0.2241 0.2596 0.5000
Mg 0.1827 0.1465 0.2739
Mg 0.4088 0.3726 0.7261
H 0.0000 0.0095 0.0000
! Energy (eV per atom): -2.6135
! Crystal system: orthorhombic

Number 1: magnetic moment 0.0 Bohr magnetons per cell. Number 2: magnetic moment 0.0 Bohr magnetons per cell. Number 3: magnetic moment 0.0 Bohr magnetons per cell. Number 4: magnetic moment 1.9 Bohr magnetons per cell. Number 5: magnetic moment 13.6 Bohr magnetons per cell. Number 6: magnetic moment 0.0 Bohr magnetons per cell.